# 1
# PBE-GGA Nd6InRh2, optimized geometry
# * E_form: -0.40 eV per atom
# * distance to the lowest polymorph of the same formula: 82.8 meV per atom
# * total moment: 0.00 μB/atom
data_Nd6InRh2
_chemical_formula_sum 'Nd12 In2 Rh4'
_symmetry_space_group_name_H-M 'C 1 2/m 1'
_symmetry_Int_Tables_number 12
_symmetry_space_group_name_Hall '-C 2y'
_cell_length_a 10.6888
_cell_length_b 5.1188
_cell_length_c 9.4381
_cell_angle_alpha 90.00
_cell_angle_beta 102.66
_cell_angle_gamma 90.00
loop_
_atom_site_label
_atom_site_fract_x
_atom_site_fract_y
_atom_site_fract_z
_atom_site_occupancy
Nd1 0.0315 0.0000 0.3476 1
Nd2 0.1630 0.5000 0.8872 1
Nd3 0.2064 0.5000 0.3325 1
In1 0.0000 0.0000 0.0000 1
Rh1 0.1239 0.5000 0.5951 1

=====

# 2
# PBE-GGA Nd8In2Rh3, optimized geometry
# * E_form: -0.37 eV per atom
# * distance to the lowest polymorph of the same formula: 0.0 meV per atom
# * total moment: 0.00 μB/atom
data_Nd8In2Rh3
_chemical_formula_sum 'Nd8 In2 Rh3'
_symmetry_space_group_name_H-M 'P 1 2/m 1'
_symmetry_Int_Tables_number 10
_symmetry_space_group_name_Hall '-P 2y'
_cell_length_a 9.1207
_cell_length_b 5.0609
_cell_length_c 9.1312
_cell_angle_alpha 90.00
_cell_angle_beta 111.96
_cell_angle_gamma 90.00
loop_
_atom_site_label
_atom_site_fract_x
_atom_site_fract_y
_atom_site_fract_z
_atom_site_occupancy
Nd1 0.1109 0.0000 0.3886 1
Nd2 0.1405 0.5000 0.8669 1
Nd3 0.3664 0.5000 0.6406 1
Nd4 0.3864 0.0000 0.1141 1
In1 0.2451 0.5000 0.2557 1
Rh1 0.2466 0.0000 0.7471 1
Rh2 0.5000 0.5000 0.0000 1

=====

# 3
# PBE-GGA NdInRh2, optimized geometry
# * E_form: -0.61 eV per atom
# * total moment: 0.00 μB/atom
data_NdInRh2
_chemical_formula_sum 'Nd2 In2 Rh4'
_symmetry_space_group_name_H-M 'I 4/m m m'
_symmetry_Int_Tables_number 139
_symmetry_space_group_name_Hall '-I 4 2'
_cell_length_a 4.7854
_cell_length_b 4.7854
_cell_length_c 6.7922
_cell_angle_alpha 90.00
_cell_angle_beta 90.00
_cell_angle_gamma 90.00
loop_
_atom_site_label
_atom_site_fract_x
_atom_site_fract_y
_atom_site_fract_z
_atom_site_occupancy
Nd1 0.0000 0.0000 0.0000 1
In1 0.0000 0.0000 0.5000 1
Rh1 0.0000 0.5000 0.2500 1

=====

# 4
# PBE-GGA Nd6InRh3, optimized geometry
# * E_form: -0.51 eV per atom
# * total moment: 0.00 μB/atom
data_Nd6InRh3
_chemical_formula_sum 'Nd12 In2 Rh6'
_symmetry_space_group_name_H-M 'P 1 21/m 1'
_symmetry_Int_Tables_number 11
_symmetry_space_group_name_Hall '-P 2yb'
_cell_length_a 12.0462
_cell_length_b 4.1354
_cell_length_c 12.4060
_cell_angle_alpha 90.00
_cell_angle_beta 107.70
_cell_angle_gamma 90.00
loop_
_atom_site_label
_atom_site_fract_x
_atom_site_fract_y
_atom_site_fract_z
_atom_site_occupancy
Nd1 0.0236 0.2500 0.3873 1
Nd2 0.1121 0.2500 0.9510 1
Nd3 0.2085 0.7500 0.2604 1
Nd4 0.2929 0.7500 0.7620 1
Nd5 0.3525 0.2500 0.5292 1
Nd6 0.4252 0.7500 0.0883 1
In1 0.4503 0.2500 0.3065 1
Rh1 0.0442 0.2500 0.1619 1
Rh2 0.1776 0.7500 0.4989 1
Rh3 0.3423 0.2500 0.9214 1